Entry 1:
Density functional theory data (PBE) for ZrAg2Cl after structural relaxation.

Cell: 12.8297 3.0114 4.5865 Å, 90.00 110.88 90.00°
Space group C2/m (No. 12)
Asymmetric unit:
Zr 0.0000 0.0000 0.0000 [2 per cell]
Ag 0.2179 0.5000 0.2180 [4 per cell]
Cl 0.0000 0.5000 0.5000 [2 per cell]

## Properties
Total magnetization, μB per cell: 0.000
DFT total energy, eV per atom: -4.232
DOS at the Fermi energy, states/eV per atom: 0.398
Uncorrected formation energy, eV/atom: -0.208

---

Entry 2:
Density functional theory data (PBE) for NaAc2Al4Au3 after structural relaxation.

Cell: 4.5335 4.5335 11.2354 Å, 90.00 90.00 90.00°
Space group P-4m2 (No. 115)
Asymmetric unit:
Na 0.0000 0.0000 0.0000 [1 per cell]
Ac 0.0000 0.5000 0.7393 [2 per cell]
Al 0.0000 0.0000 0.5000 [1 per cell]
Al 0.0000 0.5000 0.1494 [2 per cell]
Al 0.5000 0.5000 0.5000 [1 per cell]
Au 0.0000 0.5000 0.3787 [2 per cell]
Au 0.5000 0.5000 0.0000 [1 per cell]

## Properties
Total magnetization, μB per cell: 0.000
DFT total energy, eV per atom: -3.950
DOS at the Fermi energy, states/eV per atom: 0.649
Energy relative to the elements, eV/f.u.: -5.2

---

Entry 3:
Density functional theory data (PBE) for Nd6US12 after structural relaxation.

Cell: 12.2203 12.2203 11.6832 Å, 90.00 90.00 120.00°
Space group R-3 (No. 148, hexagonal axes)
Asymmetric unit:
Nd 0.0463 0.2679 0.1346 [18 per cell]
U 0.0000 0.0000 0.5000 [3 per cell]
S 0.0329 0.2199 0.8964 [18 per cell]
S 0.0523 0.1973 0.3822 [18 per cell]

## Properties
Total magnetization, μB per cell: 0.000
DFT total energy, eV per atom: -6.566
Uncorrected formation energy, eV/atom: -1.860

---

Entry 4:
Density functional theory data (PBE) for Mn2CdHPt after structural relaxation.

Cell: 4.1124 4.1124 3.8805 Å, 90.00 90.00 90.00°
Space group P4/mmm (No. 123)
Asymmetric unit:
Mn 0.0000 0.5000 0.0000 [2 per cell]
Cd 0.0000 0.0000 0.5000 [1 per cell]
H 0.5000 0.5000 0.0000 [1 per cell]
Pt 0.5000 0.5000 0.5000 [1 per cell]

## Properties
Total magnetization, μB per cell: 7.105
DFT total energy, eV per atom: -5.755
DOS at the Fermi energy, states/eV per atom: 0.587

---

Entry 5:
Density functional theory data (PBE) for U2In8Pt after structural relaxation.

Cell: 4.6796 4.6796 12.1369 Å, 90.00 90.00 90.00°
Space group P4/mmm (No. 123)
Asymmetric unit:
U 0.0000 0.0000 0.1901 [2 per cell]
In 0.0000 0.5000 0.0000 [2 per cell]
In 0.0000 0.5000 0.3727 [4 per cell]
In 0.5000 0.5000 0.1894 [2 per cell]
Pt 0.0000 0.0000 0.5000 [1 per cell]

## Properties
Total magnetization, μB per cell: 5.034
DFT total energy, eV per atom: -4.732
DOS at the Fermi energy, states/eV per atom: 1.183
Energy relative to the elements, eV/f.u.: -1.5

---

Entry 6:
Density functional theory data (PBE) for PmHfAlPt2 after structural relaxation.

Cell: 4.2133 4.2133 11.8005 Å, 90.00 90.00 90.00°
Space group I-4m2 (No. 119)
Asymmetric unit:
Pm 0.0000 0.0000 0.0000 [2 per cell]
Hf 0.0000 0.5000 0.7500 [2 per cell]
Al 0.0000 0.5000 0.2500 [2 per cell]
Pt 0.0000 0.0000 0.3864 [4 per cell]

## Properties
Total magnetization, μB per cell: 0.000
DFT total energy, eV per atom: -7.154
DOS at the Fermi energy, states/eV per atom: 0.842
Energy relative to the elements, eV/f.u.: -5.2

---

Entry 7:
Density functional theory data (PBE) for BaTiSn after structural relaxation.

Cell: 3.9691 3.9691 12.4115 Å, 90.00 90.00 90.00°
Space group I-4m2 (No. 119)
Asymmetric unit:
Ba 0.0000 0.0000 0.0000 [2 per cell]
Ti 0.0000 0.5000 0.7500 [2 per cell]
Sn 0.0000 0.5000 0.2500 [2 per cell]

## Properties
Total magnetization, μB per cell: 0.380
DFT total energy, eV per atom: -4.593
DOS at the Fermi energy, states/eV per atom: 0.906
Energy relative to the elements, eV/f.u.: 0.0

---

Entry 8:
Density functional theory data (PBE) for VMoPt after structural relaxation.

Cell: 2.7247 2.7274 13.0977 Å, 91.80 95.88 110.42°
Space group P-1 (No. 2)
Asymmetric unit:
V 0.0989 0.1575 0.2519 [2 per cell]
Mo 0.3032 0.2832 0.5870 [2 per cell]
Pt 0.3780 0.7188 0.0934 [2 per cell]

## Properties
Total magnetization, μB per cell: 0.000
DFT total energy, eV per atom: -8.897
DOS at the Fermi energy, states/eV per atom: 0.793
Energy relative to the elements, eV/f.u.: -0.7

---

Entry 9:
Density functional theory data (PBE) for CsCdHg6 after structural relaxation.

Cell: 5.3311 5.3311 9.3186 Å, 90.00 90.00 90.00°
Space group P4/mmm (No. 123)
Asymmetric unit:
Cs 0.0000 0.0000 0.0000 [1 per cell]
Cd 0.0000 0.0000 0.5000 [1 per cell]
Hg 0.0000 0.5000 0.3306 [4 per cell]
Hg 0.5000 0.5000 0.1639 [2 per cell]

## Properties
Total magnetization, μB per cell: 0.000
DFT total energy, eV per atom: -0.560
DOS at the Fermi energy, states/eV per atom: 0.606
Energy relative to the elements, eV/f.u.: -0.9

---

Entry 10:
Density functional theory data (PBE) for CoIrSe2 after structural relaxation.

Cell: 3.7568 3.7568 8.7682 Å, 90.00 90.00 90.00°
Space group I-4m2 (No. 119)
Asymmetric unit:
Co 0.0000 0.0000 0.0000 [2 per cell]
Ir 0.0000 0.5000 0.7500 [2 per cell]
Se 0.0000 0.0000 0.5000 [2 per cell]
Se 0.0000 0.5000 0.2500 [2 per cell]

## Properties
Total magnetization, μB per cell: 2.482
DFT total energy, eV per atom: -5.171
DOS at the Fermi energy, states/eV per atom: 1.381
Uncorrected formation energy, eV/atom: 0.563

---

Entry 11:
Density functional theory data (PBE) for CoCuPt2 after structural relaxation.

Cell: 3.7786 3.7786 17.2439 Å, 90.00 90.00 90.00°
Space group I-42d (No. 122)
Asymmetric unit:
Co 0.0000 0.0000 0.0000 [4 per cell]
Cu 0.0000 0.0000 0.5000 [4 per cell]
Pt 0.2488 0.2500 0.1250 [8 per cell]

## Properties
Total magnetization, μB per cell: 9.943
DFT total energy, eV per atom: -5.520
DOS at the Fermi energy, states/eV per atom: 1.231
Energy relative to the elements, eV/f.u.: 1.2

---

Entry 12:
Density functional theory data (PBE) for PmY2NpN4 after structural relaxation.

Cell: 3.4111 13.1207 11.0060 Å, 90.00 90.00 90.00°
Space group Cmcm (No. 63)
Asymmetric unit:
Pm 0.0000 0.2322 0.2500 [4 per cell]
Y 0.0000 0.3719 0.5127 [8 per cell]
Np 0.0000 0.0349 0.7500 [4 per cell]
N 0.0000 0.0000 0.0000 [4 per cell]
N 0.0000 0.2019 0.6133 [8 per cell]
N 0.0000 0.4224 0.7500 [4 per cell]

## Properties
Total magnetization, μB per cell: 15.812
DFT total energy, eV per atom: -9.211
DOS at the Fermi energy, states/eV per atom: 0.975
Uncorrected formation energy, eV/atom: -1.221

---

Which value of total magnetization does entry 9 give?
0.000 μB per cell